(1)
Entry from Alexandria: a relaxed structure of CsSmGeSe3 (PBE).

a = 9.280 Å, b = 4.155 Å, c = 11.700 Å
α = 90.00°, β = 111.38°, γ = 90.00°
Element x y z (fractional)
Cs  0.239  0.250  0.281
Cs  0.761  0.750  0.719
Sm  0.362  0.750  0.845
Sm  0.638  0.250  0.155
Ge  0.126  0.250  0.563
Ge  0.874  0.750  0.437
Se  0.116  0.250  0.772
Se  0.317  0.750  0.581
Se  0.404  0.750  0.103
Se  0.596  0.250  0.897
Se  0.683  0.250  0.419
Se  0.884  0.750  0.228

Calculated values
- Magnetic moment: 0.00 μB per cell
- Formation energy (no corrections): -7.517 eV/f.u.

=====

(2)
Entry from Alexandria: a relaxed structure of AlCdIr2 (PBE).

a = 2.866 Å, b = 2.866 Å, c = 27.026 Å
α = 90.00°, β = 90.00°, γ = 120.00°
Element x y z (fractional)
Al  0.000  0.000  0.000
Al  0.333  0.667  0.667
Al  0.667  0.333  0.333
Cd  0.000  0.000  0.759
Cd  0.333  0.667  0.426
Cd  0.667  0.333  0.092
Ir  0.000  0.000  0.261
Ir  0.000  0.000  0.513
Ir  0.333  0.667  0.180
Ir  0.333  0.667  0.928
Ir  0.667  0.333  0.594
Ir  0.667  0.333  0.847

Calculated values
- Magnetic moment: 1.40 μB per cell
- Energy: -5.58 eV per atom
- N(E_F): 0.952 states/eV per atom

=====

(3)
Entry from Alexandria: a relaxed structure of PrTh2Ga (PBE).

a = 3.446 Å, b = 3.446 Å, c = 35.288 Å
α = 90.00°, β = 90.00°, γ = 120.00°
Element x y z (fractional)
Pr  0.000  0.000  0.000
Pr  0.333  0.667  0.667
Pr  0.667  0.333  0.333
Th  0.000  0.000  0.097
Th  0.000  0.000  0.903
Th  0.333  0.667  0.570
Th  0.333  0.667  0.763
Th  0.667  0.333  0.237
Th  0.667  0.333  0.430
Ga  0.000  0.000  0.500
Ga  0.333  0.667  0.167
Ga  0.667  0.333  0.833

Calculated values
- Magnetic moment: 0.00 μB per cell
- Energy relative to the lowest polymorph listed for this composition: 254 meV per atom
- N(E_F): 1.226 states/eV per atom

=====

(4)
Entry from Alexandria: a relaxed structure of UTi2Cl8 (PBE).

a = 7.913 Å, b = 7.913 Å, c = 6.192 Å
α = 93.46°, β = 93.46°, γ = 78.59°
Element x y z (fractional)
U  0.000  0.000  0.000
Ti  0.185  0.185  0.356
Ti  0.815  0.815  0.644
Cl  0.102  0.703  0.748
Cl  0.171  0.171  0.735
Cl  0.297  0.898  0.252
Cl  0.352  0.352  0.241
Cl  0.648  0.648  0.759
Cl  0.703  0.102  0.748
Cl  0.829  0.829  0.265
Cl  0.898  0.297  0.252

Calculated values
- Magnetic moment: 3.99 μB per cell
- Formation energy (no corrections): -15.801 eV/f.u.
- N(E_F): 0.763 states/eV per atom